Computed, not measured: a geometry-optimized Sn2Sb2Au structure at the PBE level of DFT.

a b c (Å): 4.169 4.169 16.416
angles (deg): 90.00 90.00 90.00
Space group I4/mmm (No. 139)
Inequivalent atoms, fractional coordinates:
Sn 0.000 0.000 0.091 x4
Sb 0.000 0.500 0.250 x4
Au 0.000 0.000 0.500 x2

ΔE_f (raw) (meV per atom): 220
Relative energy among the computed polymorphs (kcal/mol of atoms): 4.85

---

Computed, not measured: a geometry-optimized Na3ScRh3O8 structure at the PBE level of DFT.

a b c (Å): 6.1949 6.1949 16.3830
angles (deg): 90.00 90.00 120.00
Space group R-3m (No. 166, hexagonal axes)
Inequivalent atoms, fractional coordinates:
Na 0.0000 0.5000 0.0000 x9
Sc 0.0000 0.0000 0.5000 x3
Rh 0.0000 0.5000 0.5000 x9
O 0.0000 0.0000 0.2321 x6
O 0.0055 0.5028 0.7674 x18

ΔE_f (raw) (meV per atom): -1474

---

Computed, not measured: a geometry-optimized PrPuAg2O8 structure at the PBE level of DFT.

a b c (Å): 6.991 6.991 7.496
angles (deg): 90.00 90.00 90.00
Space group I-4m2 (No. 119)
Inequivalent atoms, fractional coordinates:
Pr 0.000 0.000 0.000 x2
Pu 0.000 0.500 0.750 x2
Ag 0.000 0.000 0.500 x2
Ag 0.000 0.500 0.250 x2
O 0.000 0.221 0.721 x8
O 0.000 0.334 0.029 x8

ΔE_f (raw) (meV per atom): -1289

---

Computed, not measured: a geometry-optimized TmZrNi4 structure at the PBE level of DFT.

a b c (Å): 7.043 7.043 7.043
angles (deg): 90.00 90.00 90.00
Space group F-43m (No. 216)
Inequivalent atoms, fractional coordinates:
Tm 0.000 0.000 0.000 x4
Zr 0.250 0.250 0.750 x4
Ni 0.125 0.125 0.375 x16

Formation energy (meV/atom): -439

---

Computed, not measured: a geometry-optimized Pr2Y2Pb2C structure at the PBE level of DFT.

a b c (Å): 4.880 4.880 16.769
angles (deg): 90.00 90.00 90.00
Space group I4/mmm (No. 139)
Inequivalent atoms, fractional coordinates:
Pr 0.000 0.000 0.160 x4
Y 0.000 0.500 0.000 x4
Pb 0.000 0.000 0.362 x4
C 0.000 0.000 0.000 x2

Formation energy (meV/atom): -596

---

Computed, not measured: a geometry-optimized PmPr9Tl2 structure at the PBE level of DFT.

a b c (Å): 5.057 5.057 15.592
angles (deg): 90.00 90.00 90.00
Space group P4/mmm (No. 123)
Inequivalent atoms, fractional coordinates:
Pm 0.000 0.000 0.000 x1
Pr 0.000 0.500 0.174 x4
Pr 0.000 0.500 0.500 x2
Pr 0.500 0.500 0.000 x1
Pr 0.500 0.500 0.339 x2
Tl 0.000 0.000 0.339 x2

Formation energy (meV/atom): -128

---

Computed, not measured: a geometry-optimized Na3Y3GaS8 structure at the PBE level of DFT.

a b c (Å): 7.8187 7.8187 20.2330
angles (deg): 90.00 90.00 120.00
Space group R-3m (No. 166, hexagonal axes)
Inequivalent atoms, fractional coordinates:
Na 0.0000 0.5000 0.0000 x9
Y 0.0000 0.5000 0.5000 x9
Ga 0.0000 0.0000 0.5000 x3
S 0.0000 0.0000 0.2428 x6
S 0.0238 0.5119 0.2378 x18

ΔE_f (raw) (meV per atom): -1457

---

Computed, not measured: a geometry-optimized La2PmSm4Er structure at the PBE level of DFT.

a b c (Å): 5.149 5.163 10.339
angles (deg): 90.00 90.08 90.00
Space group P2/m (No. 10)
Inequivalent atoms, fractional coordinates:
La 0.000 0.000 0.000 x1
La 0.500 0.500 0.500 x1
Pm 0.000 0.000 0.500 x1
Sm 0.001 0.500 0.752 x2
Sm 0.500 0.000 0.248 x2
Er 0.500 0.500 0.000 x1

Formation energy (meV/atom): 24

---

| no. | E (eV/atom) | ρ (g/cm³) |
| --- | --- | --- |
| 1 | -3.686 | 7.89 |
| 2 | -6.274 | 5.04 |
| 3 | -6.662 | 6.61 |
| 4 | -6.463 | 9.41 |
| 5 | -6.185 | 7.37 |
| 6 | -4.502 | 7.59 |
| 7 | -5.417 | 3.08 |
| 8 | -4.731 | 7.20 |